BeNbCrGa2 (PBE, optimized geometry); magnetic moment = 1.54 Bohr magnetons per cell; N(E_F) = 4.40 states/eV/f.u.; symmetry = P4/mmm, No. 123; calculated total energy = -5.36 eV per atom; calculated formation energy = 0.531 eV/atom
1.0
4.219 0.000 0.000
0.000 4.219 0.000
0.000 0.000 4.154
Be Nb Cr Ga
1 1 1 2
Cartesian
0.000 0.000 0.000 Be
2.110 2.110 2.077 Nb
0.000 0.000 2.077 Cr
0.000 2.110 0.000 Ga
2.110 0.000 0.000 Ga